DyHo2LuIn2: optimized geometry, PBE-GGA. Values from VASP.

```
&SYSTEM
  ibrav = 0, nat = 6, ntyp = 4
/
ATOMIC_SPECIES
Dy 162.50 Dy.upf
Ho 164.93 Ho.upf
Lu 174.97 Lu.upf
In 114.82 In.upf
CELL_PARAMETERS angstrom
5.342 0.000 0.000
-2.671 4.627 0.000
0.000 0.000 6.669
ATOMIC_POSITIONS crystal
Dy 0.000 0.000 0.000
Ho 0.333 0.667 0.253
Ho 0.333 0.667 0.747
Lu 0.667 0.333 0.500
In 0.000 0.000 0.500
In 0.667 0.333 0.000
```

Calculated values
total moment	0.594	μB per cell
raw total energy	-25.83	eV/cell



DyHoMg2In: optimized geometry, PBE-GGA. Values from VASP.

```
&SYSTEM
  ibrav = 0, nat = 5, ntyp = 4
/
ATOMIC_SPECIES
Dy 162.50 Dy.upf
Ho 164.93 Ho.upf
Mg 24.30 Mg.upf
In 114.82 In.upf
CELL_PARAMETERS angstrom
3.375 0.000 0.000
0.000 2.464 7.765
0.000 -2.464 7.765
ATOMIC_POSITIONS crystal
Dy 0.000 0.000 0.000
Ho 0.000 0.784 0.784
Mg 0.500 0.191 0.191
Mg 0.500 0.593 0.593
In 0.500 0.392 0.392
```

Calculated values
total moment	0.331	μB per cell
raw total energy	-15.91	eV/cell



DyHo2Mg4In2: optimized geometry, PBE-GGA. Values from VASP.

```
&SYSTEM
  ibrav = 0, nat = 9, ntyp = 4
/
ATOMIC_SPECIES
Dy 162.50 Dy.upf
Ho 164.93 Ho.upf
Mg 24.30 Mg.upf
In 114.82 In.upf
CELL_PARAMETERS angstrom
4.642 0.000 0.000
0.000 6.556 3.777
0.000 -6.556 3.777
ATOMIC_POSITIONS crystal
Dy 0.000 0.000 0.000
Ho 0.000 0.436 0.873
Ho 0.000 0.873 0.436
Mg 0.000 0.437 0.437
Mg 0.500 0.193 0.436
Mg 0.500 0.436 0.193
Mg 0.500 0.680 0.680
In 0.500 0.103 0.769
In 0.500 0.769 0.103
```

Calculated values
total moment	0.007	μB per cell
raw total energy	-27.90	eV/cell



Dy2HoMg3ZnIn2: optimized geometry, PBE-GGA. Values from VASP.

```
&SYSTEM
  ibrav = 0, nat = 9, ntyp = 5
/
ATOMIC_SPECIES
Dy 162.50 Dy.upf
Ho 164.93 Ho.upf
Mg 24.30 Mg.upf
Zn 65.41 Zn.upf
In 114.82 In.upf
CELL_PARAMETERS angstrom
4.565 0.000 0.000
0.000 6.460 3.738
0.000 -6.460 3.738
ATOMIC_POSITIONS crystal
Dy 0.000 0.207 0.793
Dy 0.000 0.793 0.207
Ho 0.000 0.378 0.378
Mg 0.500 0.028 0.028
Mg 0.500 0.556 0.792
Mg 0.500 0.792 0.556
Zn 0.000 0.791 0.791
In 0.500 0.126 0.459
In 0.500 0.459 0.126
```

Calculated values
total moment	0.000	μB per cell
raw total energy	-28.40	eV/cell



DyHo2Mg3ZnIn2: optimized geometry, PBE-GGA. Values from VASP.

```
&SYSTEM
  ibrav = 0, nat = 9, ntyp = 5
/
ATOMIC_SPECIES
Dy 162.50 Dy.upf
Ho 164.93 Ho.upf
Mg 24.30 Mg.upf
Zn 65.41 Zn.upf
In 114.82 In.upf
CELL_PARAMETERS angstrom
4.554 0.000 0.000
0.000 6.466 3.722
0.000 -6.466 3.722
ATOMIC_POSITIONS crystal
Dy 0.000 0.000 0.000
Ho 0.000 0.415 0.831
Ho 0.000 0.831 0.415
Mg 0.500 0.180 0.416
Mg 0.500 0.416 0.180
Mg 0.500 0.652 0.652
Zn 0.000 0.416 0.416
In 0.500 0.082 0.748
In 0.500 0.748 0.082
```

Calculated values
total moment	0.001	μB per cell
raw total energy	-28.35	eV/cell



NdDyHo2In2: optimized geometry, PBE-GGA. Values from VASP.

```
&SYSTEM
  ibrav = 0, nat = 6, ntyp = 4
/
ATOMIC_SPECIES
Nd 144.24 Nd.upf
Dy 162.50 Dy.upf
Ho 164.93 Ho.upf
In 114.82 In.upf
CELL_PARAMETERS angstrom
5.416 0.000 0.000
-2.708 4.690 0.000
0.000 0.000 6.762
ATOMIC_POSITIONS crystal
Nd 0.000 0.000 0.000
Dy 0.667 0.333 0.500
Ho 0.333 0.667 0.254
Ho 0.333 0.667 0.746
In 0.000 0.000 0.500
In 0.667 0.333 0.000
```

Calculated values
total moment	0.796	μB per cell
raw total energy	-26.07	eV/cell



DyHoIn4Ni2: optimized geometry, PBE-GGA. Values from VASP.

```
&SYSTEM
  ibrav = 0, nat = 8, ntyp = 4
/
ATOMIC_SPECIES
Dy 162.50 Dy.upf
Ho 164.93 Ho.upf
In 114.82 In.upf
Ni 58.69 Ni.upf
CELL_PARAMETERS angstrom
7.427 0.000 0.000
0.000 2.156 5.184
0.000 -2.156 5.184
ATOMIC_POSITIONS crystal
Dy 0.000 0.000 0.000
Ho 0.500 0.135 0.135
In 0.200 0.711 0.711
In 0.300 0.424 0.424
In 0.700 0.424 0.424
In 0.800 0.711 0.711
Ni 0.000 0.284 0.284
Ni 0.500 0.852 0.852
```

Calculated values
total moment	0.004	μB per cell
raw total energy	-34.78	eV/cell



DyHo2In3Ni3: optimized geometry, PBE-GGA. Values from VASP.

```
&SYSTEM
  ibrav = 0, nat = 9, ntyp = 4
/
ATOMIC_SPECIES
Dy 162.50 Dy.upf
Ho 164.93 Ho.upf
In 114.82 In.upf
Ni 58.69 Ni.upf
CELL_PARAMETERS angstrom
3.791 0.000 0.000
0.000 6.420 3.707
0.000 -6.420 3.707
ATOMIC_POSITIONS crystal
Dy 0.000 0.000 0.000
Ho 0.000 0.411 0.821
Ho 0.000 0.821 0.411
In 0.500 0.156 0.411
In 0.500 0.411 0.156
In 0.500 0.666 0.666
Ni 0.000 0.411 0.411
Ni 0.500 0.078 0.744
Ni 0.500 0.744 0.078
```

Calculated values
total moment	0.002	μB per cell
raw total energy	-43.30	eV/cell



Dy2HoIn3Pd3: optimized geometry, PBE-GGA. Values from VASP.

```
&SYSTEM
  ibrav = 0, nat = 9, ntyp = 4
/
ATOMIC_SPECIES
Dy 162.50 Dy.upf
Ho 164.93 Ho.upf
In 114.82 In.upf
Pd 106.42 Pd.upf
CELL_PARAMETERS angstrom
3.826 0.000 0.000
0.000 6.668 3.852
0.000 -6.668 3.852
ATOMIC_POSITIONS crystal
Dy 0.000 0.204 0.796
Dy 0.000 0.796 0.204
Ho 0.000 0.389 0.389
In 0.500 0.057 0.057
In 0.500 0.536 0.796
In 0.500 0.796 0.536
Pd 0.000 0.796 0.796
Pd 0.500 0.130 0.463
Pd 0.500 0.463 0.130
```

Calculated values
total moment	0.017	μB per cell
raw total energy	-44.91	eV/cell



DyHo2In3PdPt2: optimized geometry, PBE-GGA. Values from VASP.

```
&SYSTEM
  ibrav = 0, nat = 9, ntyp = 5
/
ATOMIC_SPECIES
Dy 162.50 Dy.upf
Ho 164.93 Ho.upf
In 114.82 In.upf
Pd 106.42 Pd.upf
Pt 195.08 Pt.upf
CELL_PARAMETERS angstrom
3.809 0.000 0.000
0.000 6.680 3.853
0.000 -6.680 3.853
ATOMIC_POSITIONS crystal
Dy 0.000 0.000 0.000
Ho 0.000 0.409 0.819
Ho 0.000 0.819 0.409
In 0.500 0.149 0.410
In 0.500 0.410 0.149
In 0.500 0.669 0.669
Pd 0.000 0.410 0.410
Pt 0.500 0.076 0.742
Pt 0.500 0.742 0.076
```

Calculated values
total moment	0.020	μB per cell
raw total energy	-47.90	eV/cell



DyHoIn2Pt4: optimized geometry, PBE-GGA. Values from VASP.

```
&SYSTEM
  ibrav = 0, nat = 8, ntyp = 4
/
ATOMIC_SPECIES
Dy 162.50 Dy.upf
Ho 164.93 Ho.upf
In 114.82 In.upf
Pt 195.08 Pt.upf
CELL_PARAMETERS angstrom
4.576 0.000 0.000
-2.288 3.963 0.000
0.000 0.000 9.018
ATOMIC_POSITIONS crystal
Dy 0.000 0.000 0.000
Ho 0.333 0.667 0.500
In 0.667 0.333 0.250
In 0.667 0.333 0.750
Pt 0.000 0.000 0.343
Pt 0.000 0.000 0.657
Pt 0.333 0.667 0.158
Pt 0.333 0.667 0.842
```

Calculated values
total moment	0.012	μB per cell
raw total energy	-46.64	eV/cell



DyHoSc2In2: optimized geometry, PBE-GGA. Values from VASP.

```
&SYSTEM
  ibrav = 0, nat = 6, ntyp = 4
/
ATOMIC_SPECIES
Dy 162.50 Dy.upf
Ho 164.93 Ho.upf
Sc 44.96 Sc.upf
In 114.82 In.upf
CELL_PARAMETERS angstrom
5.180 0.000 0.000
-2.590 4.486 0.000
0.000 0.000 6.553
ATOMIC_POSITIONS crystal
Dy 0.000 0.000 0.000
Ho 0.000 0.000 0.500
Sc 0.333 0.667 0.250
Sc 0.667 0.333 0.750
In 0.333 0.667 0.750
In 0.667 0.333 0.250
```

Calculated values
total moment	0.010	μB per cell
raw total energy	-29.54	eV/cell